First-principles (PBE+U) data for a geometry-optimized Rb2VWO6 structure, as listed in Alexandria.

Lattice parameters (Å, degrees): 6.8407 6.8407 6.8407 133.85 133.85 67.33
Positions (direct):
Rb  0.0000  0.5000  0.5000
Rb  0.5000  0.0000  0.5000
V  0.2461  0.2461  0.0000
W  0.7399  0.7399  0.0000
O  0.3939  0.3939  0.0000
O  0.4521  0.4521  0.5068
O  0.4521  0.9453  0.0000
O  0.8975  0.8975  0.0000
O  0.9453  0.4521  0.0000
O  0.9453  0.9453  0.4932

Properties
As for the space-group type: No. 107. For the total DFT energy (no corrections), the calculation gives -6.601 eV/atom. The calculation puts the volume at 163.7 Å³ per cell.